## K3La3MnO8 (PBE+U)

Data for K3La3MnO8 after structural relaxation.

Cell: 7.111 7.112 7.508 Å, 118.29 90.00 120.00°
Last column: magnetic moment on the atom in μB.
Fractional positions:
K 0.000 0.000 0.000  0.00
K 0.000 0.500 0.000  0.00
K 0.500 0.500 0.000  0.00
La 0.500 0.000 0.500  0.01
La 0.500 0.500 0.500  0.01
La 0.000 0.500 0.500  0.01
Mn 0.000 0.000 0.500  3.41
O 0.269 0.538 0.307  0.00
O 0.731 0.462 0.693  0.00
O 0.801 0.602 0.329  -0.08
O 0.199 0.398 0.671  -0.08
O 0.801 0.028 0.329  -0.08
O 0.199 0.972 0.671  -0.08
O 0.228 0.028 0.329  -0.08
O 0.772 0.972 0.671  -0.08

Results
- ρ: 4.325 g/cm³
- SG: R-3m
- Electronic total energy: -100.6 eV per cell
- Magnetic moment: 2.9 μB per formula unit